[1]
A crystal of Cr2TcMo relaxed with PBEsol, computed with SCAN.

a b c (Å): 4.184 4.184 2.957
angles (deg): 90.00 90.00 90.00
Positions (direct):
Cr: 0.000 0.500 0.000
Cr: 0.500 0.000 0.000
Tc: 0.000 0.000 0.500
Mo: 0.500 0.500 0.500

Output
size of the total moment = 0.766 μB per cell
E_form = 9 kJ/mol of formula units
symmetry = P4/mmm, No. 123
calculated volume = 51.8 Å³/cell
E above lowest polymorph = 38 meV/atom
density = 9.6 g/cm³

[2]
A crystal of YTlCl3 relaxed with PBEsol, computed with SCAN.

a b c (Å): 5.231 5.231 5.231
angles (deg): 90.00 90.00 90.00
Positions (direct):
Y: 0.000 0.000 0.000
Tl: 0.500 0.500 0.500
Cl: 0.000 0.000 0.500
Cl: 0.000 0.500 0.000
Cl: 0.500 0.000 0.000

Output
size of the total moment = 0.000 μB per cell
symmetry = Pm-3m, No. 221
calculated volume = 143.1 Å³/cell
E_form (uncorrected) = -1.72 eV per atom
density = 4.6 g/cm³

[3]
A crystal of Mg2CdIr relaxed with PBEsol, computed with SCAN.

a b c (Å): 4.537 4.537 3.247
angles (deg): 90.00 90.00 90.00
Positions (direct):
Mg: 0.000 0.500 0.000
Mg: 0.500 0.000 0.000
Cd: 0.000 0.000 0.500
Ir: 0.500 0.500 0.500

Output
size of the total moment = 0.001 μB per cell
E_form = -113 kJ/mol of formula units
symmetry = P4/mmm, No. 123
calculated volume = 66.8 Å³/cell
density = 8.8 g/cm³

[4]
A crystal of KZn2Pb relaxed with PBEsol, computed with SCAN.

a b c (Å): 4.990 4.990 4.007
angles (deg): 90.00 90.00 90.00
Positions (direct):
K: 0.000 0.000 0.000
Zn: 0.000 0.500 0.500
Zn: 0.500 0.000 0.500
Pb: 0.500 0.500 0.000

Output
size of the total moment = 0.000 μB per cell
E_form = 93 kJ/mol of formula units
symmetry = P4/mmm, No. 123
calculated volume = 99.8 Å³/cell
E above lowest polymorph = 70 meV/atom
density = 6.3 g/cm³

[5]
A crystal of KTeIrI2 relaxed with PBEsol, computed with SCAN.

a b c (Å): 6.183 6.183 6.142
angles (deg): 90.00 90.00 90.00
Positions (direct):
K: 0.000 0.000 0.000
Te: 0.000 0.000 0.500
Ir: 0.500 0.500 0.500
I: 0.000 0.500 0.000
I: 0.500 0.000 0.000

Output
size of the total moment = 6.005 μB per cell
symmetry = P4/mmm, No. 123
calculated volume = 234.8 Å³/cell
E_form (uncorrected) = 1.37 eV per atom
density = 4.3 g/cm³

[6]
A crystal of TaCuPt relaxed with PBEsol, computed with SCAN.

a b c (Å): 2.807 2.807 6.574
angles (deg): 90.00 90.00 120.00
Positions (direct):
Ta: 0.000 0.000 0.000
Cu: 0.333 0.667 0.665
Pt: 0.667 0.333 0.340

Output
size of the total moment = 0.000 μB per cell
E_form = -38 kJ/mol of formula units
symmetry = P3m1, No. 156
calculated volume = 44.9 Å³/cell
E above lowest polymorph = 373 meV/atom
density = 16.3 g/cm³

[7]
A crystal of Al2CoTe relaxed with PBEsol, computed with SCAN.

a b c (Å): 4.296 4.296 5.234
angles (deg): 102.38 102.38 48.30
Positions (direct):
Al: 0.220 0.220 0.160
Al: 0.780 0.780 0.840
Co: 0.500 0.500 0.000
Te: 0.000 0.000 0.500

Output
size of the total moment = 1.143 μB per cell
symmetry = C2/m, No. 12
calculated volume = 70.1 Å³/cell
E_form (uncorrected) = 0.14 eV per atom
density = 5.7 g/cm³

[8]
A crystal of GaPtS2 relaxed with PBEsol, computed with SCAN.

a b c (Å): 8.291 8.291 8.291
angles (deg): 24.24 24.24 24.24
Positions (direct):
Ga: 0.000 0.000 0.000
Pt: 0.500 0.500 0.500
S: 0.114 0.114 0.114
S: 0.886 0.886 0.886

Output
size of the total moment = 0.000 μB per cell
symmetry = R-3m, No. 166
calculated volume = 84.4 Å³/cell
E_form (uncorrected) = -0.18 eV per atom
density = 6.5 g/cm³